H2PtW | GGA-PBE | optimized geometry

As for the total magnetic moment: 0.284 μB per formula unit.

Cell: 5.3882 5.3882 5.3882 Å, 90.00 90.00 90.00°
Last column: nearest neighbours and their distance in Å.
Space group Fm-3m (No. 225)
Symmetry-distinct sites (fractional):
H  0.2500  0.2500  0.2500 [8 per cell]  4 W 2.33, 4 Pt 2.33
Pt  0.0000  0.0000  0.0000 [4 per cell]  8 H 2.33
W  0.0000  0.0000  0.5000 [4 per cell]  8 H 2.33

=====

Co2TeHPt | GGA-PBE | optimized geometry

As for the total magnetic moment: 5.000 μB per formula unit.

Cell: 4.8236 4.8236 5.0064 Å, 90.00 90.00 90.00°
Last column: nearest neighbours and their distance in Å.
Space group P4/mmm (No. 123)
Symmetry-distinct sites (fractional):
Co  0.0000  0.5000  0.0000 [2 per cell]  2 Te 2.41
Te  0.0000  0.0000  0.0000 [1 per cell]  4 Co 2.41, 2 Pt 2.50
H  0.5000  0.5000  0.5000 [1 per cell]  4 Pt 3.41, 8 Co 3.48
Pt  0.0000  0.0000  0.5000 [1 per cell]  2 Te 2.50

=====

Number 1: total DFT energy (no corrections) -5.644 eV/atom, N(E_F) 3.18 states/eV/f.u.. Number 2: total DFT energy (no corrections) -3.864 eV/atom, N(E_F) 1.18 states/eV/f.u..